Compound: Ga3Sn2Hg2
Source: the Alexandria database
Functional: PBE-GGA
Structure: relaxed Values from VASP.

formation energy from the elements	7.8	kJ/mol of atoms
final energy	-2.4463	eV per atom

Geometry as Quantum ESPRESSO input:
```
&SYSTEM
  ibrav = 0, nat = 14, ntyp = 3
/
ATOMIC_SPECIES
Ga 69.72 Ga.upf
Sn 118.71 Sn.upf
Hg 200.59 Hg.upf
ATOMIC_POSITIONS crystal
Ga 0.0000 0.0000 0.0000
Ga 0.0000 0.5000 0.5000
Ga 0.3779 0.1719 0.9732
Ga 0.3779 0.3281 0.4732
Ga 0.6221 0.6719 0.5268
Ga 0.6221 0.8281 0.0268
Sn 0.3298 0.5805 0.7957
Sn 0.3298 0.9195 0.2957
Sn 0.6702 0.0805 0.7043
Sn 0.6702 0.4195 0.2043
Hg 0.1448 0.0043 0.6587
Hg 0.1448 0.4957 0.1587
Hg 0.8552 0.5043 0.8413
Hg 0.8552 0.9957 0.3413
CELL_PARAMETERS angstrom
6.8196 0.0000 0.0000
0.0000 6.3440 0.0000
-0.9099 0.0000 7.7423
```